No. 1
Material: MnBTeAu
Method: DFT, GGA-PBE
State: optimized geometry

abc: 3.4752 3.4752 19.0570
angles: 90.00 90.00 120.00
Positions (direct):
B  0.0000  0.0000  0.5864
B  0.3333  0.6667  0.2531
B  0.6667  0.3333  0.9197
Te  0.0000  0.0000  0.4612
Te  0.3333  0.6667  0.1278
Te  0.6667  0.3333  0.7945
Au  0.0000  0.0000  0.3115
Au  0.3333  0.6667  0.9782
Au  0.6667  0.3333  0.6448
Mn  0.0000  0.0000  0.8795
Mn  0.3333  0.6667  0.5462
Mn  0.6667  0.3333  0.2128

Formation energy without anion corrections = 0.21 eV per atom
E above lowest polymorph = 0 meV/atom

No. 2
Material: ZrTe6Rh
Method: DFT, GGA-PBE
State: optimized geometry

abc: 7.0515 7.0552 6.7401
angles: 58.39 58.40 59.99
Positions (direct):
Zr  0.5000  0.5000  0.5000
Te  0.0466  0.4279  0.7342
Te  0.7905  0.0467  0.7348
Te  0.5724  0.2088  0.2660
Te  0.2095  0.9533  0.2652
Te  0.9534  0.5721  0.2658
Te  0.4276  0.7912  0.7340
Rh  0.0000  0.0000  0.0000

Formation energy without anion corrections = -0.27 eV per atom

No. 3
Material: Y4Tm2Sc3
Method: DFT, GGA-PBE
State: optimized geometry

abc: 6.0285 9.5777 9.5777
angles: 71.94 86.19 86.19
Positions (direct):
Y  0.5090  0.0949  0.8089
Y  0.9910  0.1911  0.9051
Y  0.4910  0.9051  0.1911
Y  0.0090  0.8089  0.0949
Y  0.6576  0.8550  0.5726
Y  0.8424  0.4274  0.1450
Y  0.3424  0.1450  0.4274
Y  0.1576  0.5726  0.8550
Tm  0.1755  0.7597  0.4756
Tm  0.3245  0.5244  0.2403
Tm  0.8245  0.2403  0.5244
Tm  0.6755  0.4756  0.7597
Sc  0.0811  0.9312  0.7340
Sc  0.4189  0.2660  0.0688
Sc  0.9189  0.0688  0.2660
Sc  0.5811  0.7340  0.9312
Sc  0.2500  0.4049  0.5951
Sc  0.7500  0.5951  0.4049

E above lowest polymorph = 60 meV/atom

No. 4
Material: Cr4GaW
Method: DFT, GGA-PBE
State: optimized geometry

abc: 4.7827 4.7827 4.7827
angles: 60.00 60.00 60.00
Positions (direct):
Cr  0.6254  0.6254  0.1238
Cr  0.6254  0.1238  0.6254
Cr  0.6254  0.6254  0.6254
Cr  0.1238  0.6254  0.6254
Ga  0.0000  0.0000  0.0000
W  0.2500  0.2500  0.2500

Uncorrected energy = -54.2 eV/cell

no.,total moment (μB/f.u.),density of states at the Fermi level (states/eV/atom)
1,0.00,0.32
2,0.00,0.78
3,0.00,1.52
4,0.00,0.41